Record 1
Computed, not measured: a relaxed MgZnSe2 crystal at the PBE level of DFT.

Summary:
Crystal system: trigonal
Density, kg/m3: 4064
ΔE_f (raw), meV per atom: -969

```
4
Lattice="4.147 0.000 0.000 -2.074 3.591 0.000 0.000 0.000 6.793" Properties=species:S:1:pos:R:3 pbc="T T T"
Mg 2.074 1.197 3.390
Se 0.000 0.000 2.492
Zn 0.000 0.000 0.006
Se 2.074 1.197 6.000
```


Record 2
Computed, not measured: a relaxed SeBr3 crystal at the PBE level of DFT.

Summary:
Crystal system: tetragonal
Density, kg/m3: 4787
ΔE_f (raw), meV per atom: 564

```
4
Lattice="-2.979 1.260 0.671 -1.243 -3.053 0.214 2.153 -0.185 9.898" Properties=species:S:1:pos:R:3 pbc="T T T"
Se -0.496 -1.035 7.866
Br 1.228 -0.105 5.644
Br -1.573 -0.943 2.917
Br 2.002 -0.172 9.204
```


Record 3
Computed, not measured: a relaxed GdSnSb crystal at the PBE level of DFT.

Summary:
Crystal system: trigonal
Density, kg/m3: 8015
ΔE_f (raw), meV per atom: -412

```
3
Lattice="-3.076 0.338 1.075 -0.921 -5.216 -0.995 1.855 1.537 4.821" Properties=species:S:1:pos:R:3 pbc="T T T"
Sn -0.512 -2.908 1.124
Sb -0.508 0.056 0.178
Gd -1.121 -0.489 3.600
```


Record 4
Computed, not measured: a relaxed In3GeAs crystal at the PBE level of DFT.

Summary:
ΔH_f (0 K), eV per atom: 0.45
Crystal system: cubic
Density, kg/m3: 5604
ΔE to the lowest computed polymorph, meV per atom: 0

```
5
Lattice="5.263 0.000 0.000 0.000 5.263 0.000 0.000 0.000 5.263" Properties=species:S:1:pos:R:3 pbc="T T T"
In 2.632 0.000 0.000
As 2.632 2.632 2.632
In 0.000 2.632 0.000
Ge 0.000 0.000 0.000
In 0.000 0.000 2.632
```


Record 5
Computed, not measured: a relaxed CsKSb2 crystal at the PBE level of DFT.

Summary:
Crystal system: orthorhombic
Density, kg/m3: 3864
ΔE_f (raw), meV per atom: -381
ΔE to the lowest computed polymorph, meV per atom: 18

```
16
Lattice="7.613 0.000 0.000 0.000 8.449 0.000 0.000 0.000 11.105" Properties=species:S:1:pos:R:3 pbc="T T T"
Cs 1.903 8.371 7.743
K 1.903 1.358 2.306
Cs 5.709 0.078 3.362
Cs 1.903 4.147 8.915
Sb 0.453 7.068 0.300
K 5.709 7.091 8.799
Cs 5.709 4.303 2.191
K 1.903 5.582 3.246
K 5.709 2.867 7.859
Sb 3.353 7.068 0.300
Sb 7.160 5.605 5.852
Sb 7.160 1.381 10.806
Sb 0.453 2.844 5.253
Sb 4.259 5.605 5.852
Sb 4.259 1.381 10.806
Sb 3.353 2.844 5.253
```


Record 6
Computed, not measured: a relaxed RbTl2Pd2 crystal at the PBE level of DFT.

Summary:
ΔH_f (0 K), eV per atom: -0.15
Crystal system: monoclinic
Density, kg/m3: 8352
ΔE to the lowest computed polymorph, meV per atom: 20

```
5
Lattice="-2.952 3.030 -1.649 -3.917 -2.444 2.521 3.652 2.713 4.699" Properties=species:S:1:pos:R:3 pbc="T T T"
Pd -2.216 0.107 4.163
Tl -0.112 1.946 3.777
Pd -1.002 3.193 1.408
Rb 0.000 0.000 0.000
Tl -3.106 1.353 1.795
```


Record 7
Computed, not measured: a relaxed MgZn2Ag9 crystal at the PBE level of DFT.

Summary:
ΔH_f (0 K), eV per atom: -0.05
Crystal system: tetragonal
Density, kg/m3: 8967

```
12
Lattice="4.206 0.000 0.000 0.000 4.206 0.000 0.000 0.000 11.787" Properties=species:S:1:pos:R:3 pbc="T T T"
Mg 0.000 0.000 0.000
Ag 2.103 0.000 5.894
Zn 0.000 0.000 7.825
Ag 0.000 2.103 2.025
Ag 2.103 2.103 3.964
Ag 2.103 0.000 9.762
Ag 0.000 2.103 5.894
Ag 0.000 2.103 9.762
Ag 2.103 0.000 2.025
Ag 2.103 2.103 7.824
Zn 0.000 0.000 3.963
Ag 2.103 2.103 0.000
```


Record 8
Computed, not measured: a relaxed La3PmS6 crystal at the PBE level of DFT.

Summary:
Crystal system: trigonal
Density, kg/m3: 4199
ΔE_f (raw), meV per atom: -2144
ΔE to the lowest computed polymorph, meV per atom: 0

```
20
Lattice="8.418 -0.015 -0.197 -0.202 8.415 -0.197 -0.014 -0.015 8.420" Properties=species:S:1:pos:R:3 pbc="T T T"
S 3.776 4.980 6.659
S 7.656 5.767 0.449
S 4.829 6.848 3.631
S 3.373 1.537 4.395
S 0.546 2.619 7.577
La 0.560 2.089 4.695
La 3.463 7.780 6.052
La 7.642 6.296 3.331
S 6.764 3.885 4.749
S 1.438 4.500 3.277
S 2.450 7.643 0.381
Pm 4.101 4.193 4.013
La 1.984 4.751 0.458
S 0.570 7.782 5.585
Pm 0.000 0.000 0.000
La 4.739 0.606 1.974
S 4.426 3.406 1.366
S 7.632 0.604 2.441
S 5.752 0.742 7.645
La 6.217 3.635 7.568
```


> Which of these has the highest density?

MgZn2Ag9


> The lowest density belongs to which entry?

CsKSb2


> Which of these has the lowest density?

CsKSb2